Version A
TaFeHgBi: relaxed, PBE.

POSCAR file:
```
TaFeHgBi
1.0
0.0000 3.3536 3.3536
3.3536 0.0000 3.3536
3.3536 3.3536 0.0000
Ta Fe Hg Bi
1 1 1 1
Cartesian
0.0000 0.0000 0.0000
3.3536 3.3536 3.3536
5.0304 5.0304 5.0304
1.6768 1.6768 1.6768
```

***

Version B
TaFeHgBi: relaxed, PBE.

POSCAR file:
```
TaFeHgBi
1.0
0.0000 3.3914 3.3914
3.3914 0.0000 3.3914
3.3914 3.3914 0.0000
Ta Fe Hg Bi
1 1 1 1
Cartesian
0.0000 0.0000 0.0000
5.0872 5.0872 5.0872
1.6957 1.6957 1.6957
3.3914 3.3914 3.3914
```

***

Going by the energies, version A is most stable and the next is 44 meV per atom up.